# AgSbTe2Os (PBE-GGA, optimized geometry)
data_AgSbTe2Os
_space_group_name_H-M_alt 'P 4/m m m'
_space_group_IT_number 123
_space_group_name_Hall '-P 4 2'
_cell_length_a 5.2391
_cell_length_b 5.2391
_cell_length_c 5.1423
_cell_angle_alpha 90.00
_cell_angle_beta 90.00
_cell_angle_gamma 90.00
loop_
_atom_site_label
_atom_site_fract_x
_atom_site_fract_y
_atom_site_fract_z
Ag1 0.0000 0.0000 0.0000
Sb1 0.0000 0.0000 0.5000
Te1 0.0000 0.5000 0.0000
Os1 0.5000 0.5000 0.5000
# DOS at the Fermi energy ... 5.905 states/eV/f.u.
# Energy relative to the lowest polymorph listed for this composition ... 4.645 eV/f.u.
# Volume ... 141.15 Å³/cell
# Raw formation energy ... 1.707 eV per atom